Record 1
This record from Alexandria describes crystalline SrSiO2 at its relaxed geometry. The functional is PBE-GGA.

```
SrSiO2
1.0
1.821 0.000 6.637
-0.911 1.577 6.637
-0.911 -1.577 6.637
Sr Si O
1 1 2
direct
0.000 0.000 0.000
0.500 0.500 0.500
0.876 0.876 0.876
0.124 0.124 0.124
```

Output
Density (g/cm3): 4.288
Volume (Å³ per atom): 14.30
E (eV/atom): -5.342



Record 2
This record from Alexandria describes crystalline SrSiO2 at its relaxed geometry. The functional is PBE-GGA.

```
SrSiO2
1.0
-3.950 -2.130 -2.054
1.408 -4.366 1.821
-4.262 -2.247 4.596
O Si Sr
4 2 2
direct
0.375 0.455 0.750
0.875 0.795 0.750
0.205 0.625 0.250
0.545 0.125 0.250
0.250 0.750 0.500
0.500 0.500 0.000
0.750 0.250 0.500
0.000 0.000 0.000
```

Output
Density (g/cm3): 3.551
Volume (Å³ per atom): 17.27
E (eV/atom): -5.773



Record 3
This record from Alexandria describes crystalline Sr12Si3O5 at its relaxed geometry. The functional is PBE-GGA.

```
Sr12Si3O5
1.0
-12.957 0.043 6.222
9.414 -6.660 8.581
4.291 13.537 -2.227
Sr O Si
48 20 12
direct
0.204 0.521 0.622
0.400 0.378 0.583
0.979 0.378 0.296
0.917 0.817 0.796
0.296 0.417 0.817
0.583 0.704 0.683
0.600 0.622 0.417
0.417 0.122 0.600
0.583 0.878 0.400
0.317 0.796 0.417
0.817 0.917 0.296
0.400 0.021 0.317
0.900 0.817 0.521
0.479 0.796 0.878
0.878 0.296 0.479
0.378 0.400 0.083
0.317 0.521 0.400
0.704 0.122 0.021
0.683 0.204 0.583
0.021 0.400 0.817
0.817 0.900 0.021
0.021 0.622 0.704
0.878 0.583 0.900
0.917 0.100 0.622
0.083 0.183 0.204
0.796 0.479 0.378
0.704 0.583 0.183
0.622 0.021 0.204
0.417 0.296 0.317
0.100 0.183 0.479
0.900 0.083 0.878
0.204 0.683 0.083
0.122 0.417 0.100
0.378 0.979 0.796
0.796 0.317 0.917
0.183 0.083 0.704
0.521 0.317 0.900
0.600 0.979 0.683
0.521 0.204 0.122
0.979 0.600 0.183
0.479 0.683 0.100
0.100 0.917 0.122
0.622 0.600 0.917
0.683 0.479 0.600
0.296 0.878 0.979
0.122 0.704 0.521
0.183 0.100 0.979
0.083 0.900 0.378
0.000 0.000 0.500
0.375 0.250 0.125
0.875 0.250 0.625
0.125 0.375 0.250
0.500 0.000 0.500
0.750 0.625 0.375
0.000 0.500 0.000
0.500 0.000 0.000
0.500 0.500 0.500
0.875 0.625 0.750
0.625 0.750 0.875
0.250 0.875 0.125
0.500 0.500 0.000
0.625 0.875 0.250
0.125 0.750 0.375
0.375 0.125 0.750
0.000 0.500 0.500
0.750 0.125 0.875
0.250 0.375 0.625
0.000 0.000 0.000
0.750 0.875 0.625
0.875 0.750 0.125
0.875 0.125 0.250
0.375 0.750 0.625
0.625 0.250 0.375
0.250 0.125 0.375
0.125 0.250 0.875
0.625 0.375 0.750
0.250 0.625 0.875
0.750 0.375 0.125
0.125 0.875 0.750
0.375 0.625 0.250
```

Output
Density (g/cm3): 3.532
Volume (Å³ per atom): 28.58
E (eV/atom): -4.477



Record 4
This record from Alexandria describes crystalline Sr2SiO at its relaxed geometry. The functional is PBE-GGA.

```
Sr2SiO
1.0
-0.464 -5.843 4.164
7.120 0.138 0.987
2.801 -0.349 6.029
Si Sr O
2 4 2
direct
0.000 0.000 0.000
0.750 0.250 0.500
0.534 0.125 0.250
0.216 0.625 0.250
0.875 0.784 0.750
0.375 0.466 0.750
0.500 0.500 0.000
0.250 0.750 0.500
```

Output
Density (g/cm3): 3.279
Excess energy over the best structure of this formula in the dataset (eV per atom): 0.000
Volume (Å³ per atom): 27.77



Record 5
This record from Alexandria describes crystalline SrSi4O8 at its relaxed geometry. The functional is PBE-GGA.

```
SrSi4O8
1.0
-3.404 -1.498 -3.786
4.408 -2.823 0.874
-3.098 -3.541 4.187
Si O Sr
4 8 1
direct
0.333 0.667 0.728
0.667 0.333 0.272
0.667 0.333 0.728
0.333 0.667 0.272
0.667 0.333 0.000
0.634 0.634 0.704
0.000 0.634 0.296
0.000 0.366 0.704
0.333 0.667 0.000
0.366 0.366 0.296
0.634 0.000 0.296
0.366 0.000 0.704
0.000 0.000 0.000
```

Output
Density (g/cm3): 3.545
Volume (Å³ per atom): 11.82
E (eV/atom): -7.163



Record 6
This record from Alexandria describes crystalline Sr3SiO5 at its relaxed geometry. The functional is PBE-GGA.

```
Sr3SiO5
1.0
7.126 0.000 0.000
0.000 7.126 0.000
0.000 0.000 10.835
O Sr Si
20 12 4
direct
0.081 0.166 0.592
0.500 0.000 0.213
0.000 0.500 0.287
0.834 0.081 0.408
0.919 0.834 0.592
0.000 0.500 0.787
0.834 0.919 0.908
0.166 0.081 0.908
0.581 0.334 0.908
0.666 0.419 0.592
0.419 0.666 0.908
0.419 0.334 0.408
0.334 0.419 0.092
0.166 0.919 0.408
0.666 0.581 0.092
0.581 0.666 0.408
0.919 0.166 0.092
0.081 0.834 0.092
0.334 0.581 0.592
0.500 0.000 0.713
0.500 0.000 0.987
0.197 0.197 0.250
0.000 0.500 0.513
0.500 0.000 0.487
0.303 0.303 0.750
0.803 0.803 0.250
0.197 0.803 0.750
0.803 0.197 0.750
0.697 0.697 0.750
0.697 0.303 0.250
0.303 0.697 0.250
0.000 0.500 0.013
0.500 0.500 0.500
0.500 0.500 0.000
0.000 0.000 0.000
0.000 0.000 0.500
```

Output
Density (g/cm3): 4.478
Volume (Å³ per atom): 15.28
E (eV/atom): -6.872



Record 7
This record from Alexandria describes crystalline Sr2SiO at its relaxed geometry. The functional is PBE-GGA.

```
Sr2SiO
1.0
0.000 3.644 3.644
3.644 0.000 3.644
3.644 3.644 0.000
Sr Si O
2 1 1
direct
0.250 0.250 0.250
0.750 0.750 0.750
0.500 0.500 0.500
0.000 0.000 0.000
```

Output
Density (g/cm3): 3.763
Excess energy over the best structure of this formula in the dataset (eV per atom): 0.605
Volume (Å³ per atom): 24.20



Record 8
This record from Alexandria describes crystalline SrSiO2 at its relaxed geometry. The functional is PBE-GGA.

```
SrSiO2
1.0
2.173 0.000 5.781
-1.087 1.882 5.781
-1.087 -1.882 5.781
O Si Sr
2 1 1
direct
0.095 0.095 0.095
0.905 0.905 0.905
0.000 0.000 0.000
0.500 0.500 0.500
```

Output
Density (g/cm3): 3.458
Volume (Å³ per atom): 17.73
E (eV/atom): -6.246



Record 9
This record from Alexandria describes crystalline SrSi2O at its relaxed geometry. The functional is PBE-GGA.

```
SrSi2O
1.0
4.767 0.000 0.000
0.000 4.767 0.000
2.384 2.384 7.310
Si O Sr
4 2 2
direct
0.375 0.125 0.250
0.375 0.625 0.250
0.375 0.625 0.750
0.875 0.625 0.750
0.500 0.500 0.000
0.250 0.750 0.500
0.750 0.250 0.500
0.000 0.000 0.000
```

Output
Density (g/cm3): 3.194
Volume (Å³ per atom): 20.77
E (eV/atom): -4.783



Record 10
This record from Alexandria describes crystalline Sr3Ta6Si4O26 at its relaxed geometry. The functional is PBE-GGA.

```
Sr3Ta6Si4O26
1.0
9.034 0.000 0.000
-4.517 7.824 0.000
0.000 0.000 7.741
O Sr Si Ta
26 3 4 6
direct
0.177 0.491 0.291
0.000 0.815 0.235
0.185 0.185 0.235
0.185 0.185 0.765
0.779 0.779 0.500
0.491 0.177 0.291
0.686 0.509 0.709
0.815 0.000 0.235
0.314 0.823 0.291
0.000 0.279 0.000
0.491 0.177 0.709
0.221 0.000 0.500
0.509 0.686 0.709
0.815 0.000 0.765
0.686 0.509 0.291
0.823 0.314 0.291
0.177 0.491 0.709
0.000 0.221 0.500
0.721 0.721 0.000
0.509 0.686 0.291
0.279 0.000 0.000
0.823 0.314 0.709
0.667 0.333 0.000
0.000 0.815 0.765
0.314 0.823 0.709
0.333 0.667 0.000
0.403 0.403 0.500
0.000 0.597 0.500
0.597 0.000 0.500
0.333 0.667 0.209
0.667 0.333 0.209
0.333 0.667 0.791
0.667 0.333 0.791
0.239 0.000 0.754
0.761 0.761 0.754
0.000 0.239 0.754
0.761 0.761 0.246
0.000 0.239 0.246
0.239 0.000 0.246
```

Output
Density (g/cm3): 5.696
Volume (Å³ per atom): 14.03
E (eV/atom): -8.766



Record 11
This record from Alexandria describes crystalline SrTaSi2O8 at its relaxed geometry. The functional is PBE-GGA.

```
SrTaSi2O8
1.0
5.187 -0.025 -0.165
2.371 4.614 -0.165
0.096 0.058 7.249
Si O Sr Ta
2 8 1 1
direct
0.346 0.346 0.770
0.654 0.654 0.230
0.795 0.795 0.089
0.288 0.288 0.553
0.798 0.303 0.195
0.303 0.798 0.195
0.712 0.712 0.447
0.697 0.202 0.805
0.205 0.205 0.911
0.202 0.697 0.805
0.000 0.000 0.500
0.000 0.000 0.000
```

Output
Density (g/cm3): 4.320
Volume (Å³ per atom): 14.50
E (eV/atom): -8.024



Record 12
This record from Alexandria describes crystalline SrSiTcO6 at its relaxed geometry. The functional is PBE-GGA.

```
SrSiTcO6
1.0
-4.079 0.696 2.841
-2.845 -3.922 1.311
2.980 -0.676 4.444
O Si Sr Tc
6 1 1 1
direct
0.598 0.019 0.306
0.382 0.598 0.306
0.598 0.382 0.694
0.019 0.382 0.306
0.019 0.598 0.694
0.382 0.019 0.694
0.333 0.333 0.500
0.000 0.000 0.000
0.667 0.667 0.500
```

Output
Density (g/cm3): 4.370
Volume (Å³ per atom): 13.08
E (eV/atom): -7.421



> The lowest volume belongs to which entry?

SrSi4O8